## SiHg2O4 (GGA-PBEsol)

Data for a relaxed SiHg2O4 crystal.

Results
SG   Fddd (70)
Formation energy (no corrections)   -1.3504 eV/atom
Volume   14.1 Å³/atom

Cell lengths 6.2954, 6.2954, 6.5198 Å; angles 104.64, 104.64, 118.45 degrees
Closest atoms and distances in Å follow each position.
Atoms (fractional coordinates):
O 0.4058 0.7168 0.3386  1 Si 1.65
O 0.2832 0.5942 0.6614  1 Si 1.65
Hg 0.5665 0.4335 0.5000  2 O 2.06
O 0.8442 0.0332 0.1614  1 Si 1.65
O 0.3781 0.0672 0.6614  1 Si 1.65
Hg 0.9335 0.0665 0.5000  2 O 2.06
O 0.3172 0.1281 0.1614  1 Si 1.65
Hg 0.6835 0.3165 0.0000  2 O 2.06
Hg 0.3165 0.6835 0.0000  2 O 2.06
O 0.9328 0.6219 0.3386  1 Si 1.65
O 0.8719 0.6828 0.8386  1 Si 1.65
Si 0.2500 0.7500 0.5000  4 O 1.65
Si 0.0000 0.0000 0.0000  4 O 1.65
O 0.9668 0.1558 0.8386  1 Si 1.65

***

## SnHg3O (GGA-PBEsol)

Data for a relaxed SnHg3O crystal.

Results
SG   Pm-3m (221)
Formation energy (no corrections)   0.2347 eV/atom
Volume   21.6 Å³/atom

Cell lengths 4.7627, 4.7627, 4.7627 Å; angles 90.00, 90.00, 90.00 degrees
Closest atoms and distances in Å follow each position.
Atoms (fractional coordinates):
Hg 0.0000 0.0000 0.5000  2 O 2.38
Hg 0.0000 0.5000 0.0000  2 O 2.38
Hg 0.5000 0.0000 0.0000  2 O 2.38
Sn 0.5000 0.5000 0.5000  12 Hg 3.37
O 0.0000 0.0000 0.0000  6 Hg 2.38

***

## Sr3HgO (GGA-PBEsol)

Data for a relaxed Sr3HgO crystal.

Results
SG   Pm-3m (221)
Formation energy (no corrections)   -1.3054 eV/atom
Volume   26.8 Å³/atom

Cell lengths 5.1188, 5.1188, 5.1188 Å; angles 90.00, 90.00, 90.00 degrees
Closest atoms and distances in Å follow each position.
Atoms (fractional coordinates):
Sr 0.0000 0.5000 0.0000  2 O 2.56
Hg 0.5000 0.5000 0.5000  12 Sr 3.62
Sr 0.5000 0.0000 0.0000  2 O 2.56
O 0.0000 0.0000 0.0000  6 Sr 2.56
Sr 0.0000 0.0000 0.5000  2 O 2.56

***

## Ta2HgO (GGA-PBEsol)

Data for a relaxed Ta2HgO crystal.

Results
SG   Fm-3m (225)
Formation energy (no corrections)   0.3315 eV/atom
Volume   15.4 Å³/atom

Cell lengths 4.4346, 4.4346, 4.4346 Å; angles 60.00, 60.00, 60.00 degrees
Closest atoms and distances in Å follow each position.
Atoms (fractional coordinates):
O 0.0000 0.0000 0.0000  8 Ta 2.72
Ta 0.2500 0.2500 0.2500  4 Hg 2.72, 4 O 2.72
Hg 0.5000 0.5000 0.5000  8 Ta 2.72
Ta 0.7500 0.7500 0.7500  4 O 2.72, 4 Hg 2.72

***

## TaHg3O (GGA-PBEsol)

Data for a relaxed TaHg3O crystal.

Results
SG   Pm-3m (221)
Formation energy (no corrections)   0.8834 eV/atom
Volume   18.8 Å³/atom

Cell lengths 4.5475, 4.5475, 4.5475 Å; angles 90.00, 90.00, 90.00 degrees
Closest atoms and distances in Å follow each position.
Atoms (fractional coordinates):
Ta 0.5000 0.5000 0.5000  12 Hg 3.22
Hg 0.5000 0.0000 0.0000  2 O 2.27
Hg 0.0000 0.0000 0.5000  2 O 2.27
Hg 0.0000 0.5000 0.0000  2 O 2.27
O 0.0000 0.0000 0.0000  6 Hg 2.27

***

## TcHg3O (GGA-PBEsol)

Data for a relaxed TcHg3O crystal.

Results
SG   Pm-3m (221)
Formation energy (no corrections)   1.2458 eV/atom
Volume   28.6 Å³/atom

Cell lengths 5.2305, 5.2305, 5.2305 Å; angles 90.00, 90.00, 90.00 degrees
Closest atoms and distances in Å follow each position.
Atoms (fractional coordinates):
Hg 0.0000 0.5000 0.0000  2 Tc 2.62
O 0.5000 0.5000 0.5000  12 Hg 3.70
Hg 0.5000 0.0000 0.0000  2 Tc 2.62
Hg 0.0000 0.0000 0.5000  2 Tc 2.62
Tc 0.0000 0.0000 0.0000  6 Hg 2.62

***

## Tc3HgO (GGA-PBEsol)

Data for a relaxed Tc3HgO crystal.

Results
SG   Pm-3m (221)
Formation energy (no corrections)   3.2151 eV/atom
Volume   26.2 Å³/atom

Cell lengths 5.0771, 5.0771, 5.0771 Å; angles 90.00, 90.00, 90.00 degrees
Closest atoms and distances in Å follow each position.
Atoms (fractional coordinates):
Tc 0.5000 0.0000 0.0000  2 Hg 2.54
Tc 0.0000 0.0000 0.5000  2 Hg 2.54
O 0.5000 0.5000 0.5000  12 Tc 3.59
Hg 0.0000 0.0000 0.0000  6 Tc 2.54
Tc 0.0000 0.5000 0.0000  2 Hg 2.54

***

## Hg3TeO6 (GGA-PBEsol)

Data for a relaxed Hg3TeO6 crystal.

Results
SG   Ia-3 (206)
Energy above the lowest structure with this stoichiometry   0 meV per atom
Formation energy (no corrections)   -0.6161 eV/atom
Volume   15.4 Å³/atom

Cell lengths 11.7067, 11.7067, 11.7067 Å; angles 109.47, 109.47, 109.47 degrees
Closest atoms and distances in Å follow each position.
Atoms (fractional coordinates):
O 0.1511 0.5120 0.1501  1 Te 1.96, 1 Hg 2.07
Hg 0.7481 0.8312 0.6672  2 O 2.07
O 0.8618 0.0010 0.3499  1 Te 1.96, 1 Hg 2.07
Te 0.5000 0.5000 0.5000  6 O 1.96
O 0.6500 0.6389 0.9992  1 Te 1.96, 1 Hg 2.07
Hg 0.0832 0.1640 0.8312  2 O 2.07
O 0.3602 0.8611 0.5111  1 Te 1.96, 1 Hg 2.07
Hg 0.2481 0.5808 0.9168  2 O 2.07
O 0.1389 0.9889 0.1398  1 Te 1.96, 1 Hg 2.07
Hg 0.3360 0.9192 0.1672  2 O 2.07
Te 0.0000 0.5000 0.0000  6 O 1.96
O 0.0120 0.3608 0.8618  1 Te 1.96, 1 Hg 2.07
Te 0.5000 0.5000 0.0000  6 O 1.96
Hg 0.1688 0.8328 0.7519  2 O 2.07
Hg 0.5808 0.4168 0.7481  2 O 2.07
O 0.4889 0.8500 0.3492  1 Te 1.96, 1 Hg 2.07
O 0.6392 0.6382 0.4880  1 Te 1.96, 1 Hg 2.07
Te 0.0000 0.0000 0.5000  6 O 1.96
O 0.8489 0.4880 0.8499  1 Te 1.96, 1 Hg 2.07
O 0.6398 0.1389 0.4889  1 Te 1.96, 1 Hg 2.07
O 0.5010 0.1392 0.1511  1 Te 1.96, 1 Hg 2.07
Te 0.5000 0.0000 0.5000  6 O 1.96
O 0.5111 0.1500 0.6508  1 Te 1.96, 1 Hg 2.07
Hg 0.3328 0.6640 0.5808  2 O 2.07
O 0.0010 0.8499 0.3618  1 Te 1.96, 1 Hg 2.07
O 0.6511 0.5010 0.6392  1 Te 1.96, 1 Hg 2.07
Hg 0.6672 0.3360 0.4192  2 O 2.07
O 0.8611 0.0111 0.8602  1 Te 1.96, 1 Hg 2.07
O 0.1501 0.1382 0.4990  1 Te 1.96, 1 Hg 2.07
Hg 0.9168 0.8360 0.1688  2 O 2.07
O 0.6508 0.0008 0.6398  1 Te 1.96, 1 Hg 2.07
Hg 0.4192 0.5832 0.2519  2 O 2.07
O 0.5120 0.6501 0.6511  1 Te 1.96, 1 Hg 2.07
O 0.9992 0.8602 0.8492  1 Te 1.96, 1 Hg 2.07
O 0.3499 0.8489 0.9880  1 Te 1.96, 1 Hg 2.07
O 0.1508 0.5111 0.6500  1 Te 1.96, 1 Hg 2.07
O 0.1392 0.6511 0.0010  1 Te 1.96, 1 Hg 2.07
O 0.9880 0.6392 0.1382  1 Te 1.96, 1 Hg 2.07
O 0.9889 0.6398 0.6389  1 Te 1.96, 1 Hg 2.07
O 0.1500 0.1508 0.0111  1 Te 1.96, 1 Hg 2.07
O 0.3489 0.4990 0.3608  1 Te 1.96, 1 Hg 2.07
O 0.8608 0.3489 0.9990  1 Te 1.96, 1 Hg 2.07
O 0.3608 0.3618 0.5120  1 Te 1.96, 1 Hg 2.07
O 0.8602 0.3492 0.4992  1 Te 1.96, 1 Hg 2.07
Hg 0.0808 0.3328 0.1640  2 O 2.07
O 0.8492 0.4889 0.3500  1 Te 1.96, 1 Hg 2.07
O 0.3492 0.9992 0.3602  1 Te 1.96, 1 Hg 2.07
Hg 0.3312 0.0832 0.6640  2 O 2.07
Hg 0.6640 0.0808 0.8328  2 O 2.07
O 0.4992 0.6500 0.1389  1 Te 1.96, 1 Hg 2.07
Hg 0.8360 0.6688 0.4168  2 O 2.07
Hg 0.5832 0.7519 0.9192  2 O 2.07
Hg 0.8312 0.1672 0.2481  2 O 2.07
O 0.8500 0.8492 0.9889  1 Te 1.96, 1 Hg 2.07
Hg 0.1672 0.7481 0.3312  2 O 2.07
O 0.0111 0.3602 0.3611  1 Te 1.96, 1 Hg 2.07
O 0.3618 0.0120 0.8608  1 Te 1.96, 1 Hg 2.07
O 0.3500 0.3611 0.0008  1 Te 1.96, 1 Hg 2.07
Te 0.0000 0.0000 0.0000  6 O 1.96
Te 0.5000 0.0000 0.0000  6 O 1.96
Hg 0.6688 0.9168 0.3360  2 O 2.07
O 0.9990 0.1501 0.6382  1 Te 1.96, 1 Hg 2.07
Hg 0.4168 0.2481 0.0808  2 O 2.07
Hg 0.9192 0.6672 0.8360  2 O 2.07
Hg 0.2519 0.1688 0.3328  2 O 2.07
O 0.4990 0.8608 0.8489  1 Te 1.96, 1 Hg 2.07
O 0.8499 0.8618 0.5010  1 Te 1.96, 1 Hg 2.07
O 0.6382 0.9880 0.1392  1 Te 1.96, 1 Hg 2.07
O 0.6389 0.4992 0.1500  1 Te 1.96, 1 Hg 2.07
O 0.1382 0.9990 0.6501  1 Te 1.96, 1 Hg 2.07
O 0.5008 0.3500 0.8611  1 Te 1.96, 1 Hg 2.07
Hg 0.1640 0.3312 0.5832  2 O 2.07
O 0.3611 0.5008 0.8500  1 Te 1.96, 1 Hg 2.07
O 0.0008 0.1398 0.1508  1 Te 1.96, 1 Hg 2.07
Te 0.0000 0.5000 0.5000  6 O 1.96
O 0.6501 0.1511 0.0120  1 Te 1.96, 1 Hg 2.07
Hg 0.7519 0.4192 0.0832  2 O 2.07
Hg 0.8328 0.2519 0.6688  2 O 2.07
O 0.4880 0.3499 0.3489  1 Te 1.96, 1 Hg 2.07
O 0.1398 0.6508 0.5008  1 Te 1.96, 1 Hg 2.07

***

## Hg2TeO5 (GGA-PBEsol)

Data for a relaxed Hg2TeO5 crystal.

Results
SG   Pna2_1 (33)
Formation energy (no corrections)   -0.6544 eV/atom
Volume   13.6 Å³/atom

Cell lengths 5.9128, 7.3863, 9.9820 Å; angles 90.00, 90.00, 90.00 degrees
Closest atoms and distances in Å follow each position.
Atoms (fractional coordinates):
O 0.0425 0.9467 0.4466  1 Te 1.96, 1 Hg 2.08
O 0.8761 0.6185 0.4977  2 Te 1.99-2.00
Hg 0.7266 0.7314 0.8274  2 O 2.08
O 0.3388 0.5877 0.1827  1 Te 1.97, 1 Hg 2.08
Te 0.2396 0.6344 0.9976  6 O 1.91-2.00
O 0.1612 0.0877 0.1827  1 Te 1.97, 1 Hg 2.08
O 0.5425 0.5533 0.9466  1 Te 1.96, 1 Hg 2.08
O 0.1239 0.3815 0.9977  2 Te 1.99-2.00
Hg 0.2266 0.7686 0.3274  2 O 2.08
O 0.3761 0.8815 0.9977  2 Te 1.99-2.00
O 0.8511 0.3340 0.3133  1 Te 1.93, 1 Hg 2.16
Te 0.7396 0.8656 0.4976  6 O 1.91-2.00
O 0.9509 0.7157 0.0591  1 Te 1.91
O 0.8388 0.9123 0.6827  1 Te 1.97, 1 Hg 2.08
O 0.1489 0.6660 0.8133  1 Te 1.93, 1 Hg 2.16
Hg 0.7257 0.5209 0.1645  3 O 2.16-2.35
O 0.5491 0.2157 0.0591  1 Te 1.91
O 0.0491 0.2843 0.5591  1 Te 1.91
O 0.6489 0.8340 0.3133  1 Te 1.93, 1 Hg 2.16
O 0.4509 0.7843 0.5591  1 Te 1.91
Hg 0.2257 0.9791 0.6645  3 O 2.16-2.35
Hg 0.7734 0.2314 0.8274  2 O 2.08
Hg 0.7743 0.0209 0.1645  3 O 2.16-2.35
O 0.6239 0.1185 0.4977  2 Te 1.99-2.00
Hg 0.2743 0.4791 0.6645  3 O 2.16-2.35
Te 0.7604 0.3656 0.4976  6 O 1.91-2.00
O 0.9575 0.0533 0.9466  1 Te 1.96, 1 Hg 2.08
O 0.3511 0.1660 0.8133  1 Te 1.93, 1 Hg 2.16
O 0.4575 0.4467 0.4466  1 Te 1.96, 1 Hg 2.08
O 0.6612 0.4123 0.6827  1 Te 1.97, 1 Hg 2.08
Te 0.2604 0.1344 0.9976  6 O 1.91-2.00
Hg 0.2734 0.2686 0.3274  2 O 2.08

***

## HgTe2O (GGA-PBEsol)

Data for a relaxed HgTe2O crystal.

Results
SG   R-3m (166)
Formation energy (no corrections)   0.0143 eV/atom
Volume   22.3 Å³/atom

Cell lengths 4.6677, 4.6677, 4.6677 Å; angles 71.76, 71.76, 71.76 degrees
Closest atoms and distances in Å follow each position.
Atoms (fractional coordinates):
Te 0.1964 0.1964 0.1964  1 O 2.02
O 0.0000 0.0000 0.0000  2 Te 2.02
Te 0.8036 0.8036 0.8036  1 O 2.02
Hg 0.5000 0.5000 0.5000  8 Te 3.13-3.17

***

## Hg3TeO6 (GGA-PBEsol)

Data for a relaxed Hg3TeO6 crystal.

Results
SG   Ia-3d (230)
Energy above the lowest structure with this stoichiometry   53 meV per atom
Formation energy (no corrections)   -0.5630 eV/atom
Volume   15.5 Å³/atom

Cell lengths 11.7225, 11.7225, 11.7225 Å; angles 109.47, 109.47, 109.47 degrees
Closest atoms and distances in Å follow each position.
Atoms (fractional coordinates):
O 0.1521 0.1461 0.0086  1 Te 1.96, 1 Hg 2.08
Hg 0.4084 0.3168 0.1584  2 O 2.08
O 0.5086 0.1521 0.6461  1 Te 1.96, 1 Hg 2.08
O 0.1435 0.1521 0.5060  1 Te 1.96, 1 Hg 2.08
O 0.8565 0.8479 0.4940  1 Te 1.96, 1 Hg 2.08
Hg 0.8168 0.9084 0.6584  2 O 2.08
O 0.0060 0.1435 0.6521  1 Te 1.96, 1 Hg 2.08
O 0.3479 0.9914 0.8539  1 Te 1.96, 1 Hg 2.08
Hg 0.2500 0.8416 0.1584  2 O 2.08
Hg 0.1584 0.3416 0.2500  2 O 2.08
O 0.5060 0.6521 0.1435  1 Te 1.96, 1 Hg 2.08
O 0.3565 0.8625 0.0086  1 Te 1.96, 1 Hg 2.08
O 0.0086 0.6461 0.1521  1 Te 1.96, 1 Hg 2.08
O 0.1375 0.6461 0.4940  1 Te 1.96, 1 Hg 2.08
Hg 0.3168 0.6584 0.9084  2 O 2.08
O 0.4940 0.3479 0.8565  1 Te 1.96, 1 Hg 2.08
O 0.3479 0.3565 0.9940  1 Te 1.96, 1 Hg 2.08
Hg 0.6584 0.4084 0.8168  2 O 2.08
O 0.9914 0.3539 0.8479  1 Te 1.96, 1 Hg 2.08
O 0.3625 0.8565 0.5086  1 Te 1.96, 1 Hg 2.08
O 0.6375 0.4940 0.6461  1 Te 1.96, 1 Hg 2.08
Te 0.0000 0.0000 0.5000  6 O 1.96
O 0.4940 0.1461 0.1375  1 Te 1.96, 1 Hg 2.08
Te 0.0000 0.5000 0.5000  6 O 1.96
Hg 0.3416 0.7500 0.6584  2 O 2.08
Hg 0.8416 0.6584 0.7500  2 O 2.08
O 0.6521 0.6435 0.0060  1 Te 1.96, 1 Hg 2.08
O 0.0060 0.8625 0.8539  1 Te 1.96, 1 Hg 2.08
Hg 0.5916 0.9084 0.2500  2 O 2.08
O 0.0086 0.3625 0.3565  1 Te 1.96, 1 Hg 2.08
Hg 0.5916 0.6832 0.8416  2 O 2.08
Hg 0.9084 0.7500 0.0916  2 O 2.08
Hg 0.4084 0.0916 0.7500  2 O 2.08
O 0.9914 0.6375 0.6435  1 Te 1.96, 1 Hg 2.08
O 0.6521 0.0086 0.1461  1 Te 1.96, 1 Hg 2.08
Hg 0.3416 0.5916 0.1832  2 O 2.08
O 0.6435 0.1375 0.9914  1 Te 1.96, 1 Hg 2.08
O 0.5086 0.3565 0.3625  1 Te 1.96, 1 Hg 2.08
Hg 0.1832 0.0916 0.3416  2 O 2.08
Hg 0.7500 0.5916 0.4084  2 O 2.08
Hg 0.6584 0.2500 0.3416  2 O 2.08
O 0.8565 0.0086 0.8625  1 Te 1.96, 1 Hg 2.08
O 0.1521 0.0060 0.6435  1 Te 1.96, 1 Hg 2.08
Hg 0.6832 0.3416 0.0916  2 O 2.08
O 0.8625 0.3539 0.5060  1 Te 1.96, 1 Hg 2.08
Te 0.0000 0.5000 0.0000  6 O 1.96
Hg 0.2500 0.4084 0.5916  2 O 2.08
O 0.9940 0.8565 0.3479  1 Te 1.96, 1 Hg 2.08
O 0.1461 0.5086 0.6521  1 Te 1.96, 1 Hg 2.08
O 0.3539 0.3479 0.4914  1 Te 1.96, 1 Hg 2.08
Hg 0.0916 0.8416 0.6832  2 O 2.08
O 0.8479 0.9940 0.3565  1 Te 1.96, 1 Hg 2.08
Te 0.0000 0.0000 0.0000  6 O 1.96
O 0.4914 0.8479 0.3539  1 Te 1.96, 1 Hg 2.08
O 0.4914 0.6435 0.6375  1 Te 1.96, 1 Hg 2.08
O 0.8539 0.4914 0.3479  1 Te 1.96, 1 Hg 2.08
O 0.8625 0.5086 0.8565  1 Te 1.96, 1 Hg 2.08
O 0.6461 0.9940 0.6375  1 Te 1.96, 1 Hg 2.08
O 0.6375 0.1435 0.4914  1 Te 1.96, 1 Hg 2.08
Te 0.5000 0.0000 0.5000  6 O 1.96
Te 0.5000 0.5000 0.5000  6 O 1.96
O 0.3539 0.0060 0.3625  1 Te 1.96, 1 Hg 2.08
Hg 0.7500 0.1584 0.8416  2 O 2.08
Hg 0.1584 0.8168 0.4084  2 O 2.08
O 0.3625 0.5060 0.3539  1 Te 1.96, 1 Hg 2.08
O 0.3565 0.4940 0.8479  1 Te 1.96, 1 Hg 2.08
O 0.8539 0.3625 0.0060  1 Te 1.96, 1 Hg 2.08
Hg 0.9084 0.1584 0.3168  2 O 2.08
O 0.8479 0.8539 0.9914  1 Te 1.96, 1 Hg 2.08
O 0.6461 0.6521 0.5086  1 Te 1.96, 1 Hg 2.08
Te 0.5000 0.0000 0.0000  6 O 1.96
O 0.1375 0.4914 0.1435  1 Te 1.96, 1 Hg 2.08
O 0.5060 0.8539 0.8625  1 Te 1.96, 1 Hg 2.08
O 0.6435 0.5060 0.1521  1 Te 1.96, 1 Hg 2.08
O 0.9940 0.1375 0.1461  1 Te 1.96, 1 Hg 2.08
O 0.1435 0.9914 0.1375  1 Te 1.96, 1 Hg 2.08
Hg 0.8416 0.1832 0.5916  2 O 2.08
Hg 0.0916 0.2500 0.9084  2 O 2.08
Te 0.5000 0.5000 0.0000  6 O 1.96
O 0.1461 0.6375 0.9940  1 Te 1.96, 1 Hg 2.08

***

## HgTeWO2 (GGA-PBEsol)

Data for a relaxed HgTeWO2 crystal.

Results
SG   P4/mmm (123)
Formation energy (no corrections)   1.1238 eV/atom
Volume   18.4 Å³/atom

Cell lengths 4.0304, 4.0304, 5.6543 Å; angles 90.00, 90.00, 90.00 degrees
Closest atoms and distances in Å follow each position.
Atoms (fractional coordinates):
W 0.0000 0.0000 0.5000  2 Hg 2.83, 4 Te 2.85
Hg 0.0000 0.0000 0.0000  4 O 2.02
O 0.0000 0.5000 0.0000  2 Hg 2.02
O 0.5000 0.0000 0.0000  2 Hg 2.02
Te 0.5000 0.5000 0.5000  4 W 2.85